This record from the Alexandria database describes Re2BO after structural relaxation. The functional is GGA-PBEsol.

raw formation energy = 0.33 eV per atom
Fermi-level density of states = 5.546 states/eV per cell
volume = 11.9 Å³ per atom

Structure (CIF):
```
data_Re2BO
_chemical_formula_sum 'Re4 B2 O2'
_cell_length_a 3.937
_cell_length_b 3.937
_cell_length_c 6.766
_cell_angle_alpha 106.91
_cell_angle_beta 106.91
_cell_angle_gamma 90.00
_symmetry_space_group_name_H-M 'P 1'
_symmetry_Int_Tables_number 1
_symmetry_space_group_name_Hall 'P 1'
loop_
_atom_site_label
_atom_site_type_symbol
_atom_site_fract_x
_atom_site_fract_y
_atom_site_fract_z
_atom_site_occupancy
B1 B 0.750 0.250 0.500 1
B2 B 0.500 0.500 0.000 1
Re1 Re 0.896 0.375 0.250 1
Re2 Re 0.125 0.104 0.750 1
Re3 Re 0.625 0.646 0.750 1
Re4 Re 0.354 0.875 0.250 1
O1 O 0.000 0.000 0.000 1
O2 O 0.250 0.750 0.500 1
```